A plane-wave DFT calculation with PBE was carried out for a relaxed structure of Hg3GeW.

a = 5.2698 Å, b = 5.2698 Å, c = 5.2698 Å
α = 90.00°, β = 90.00°, γ = 90.00°
Last column: nearest neighbours and their distance in Å.
Element x y z (fractional)
Hg (0.0000, 0.5000, 0.0000)  2 W 2.63
Hg (0.5000, 0.0000, 0.0000)  2 W 2.63
Hg (0.0000, 0.0000, 0.5000)  2 W 2.63
W (0.0000, 0.0000, 0.0000)  6 Hg 2.63
Ge (0.5000, 0.5000, 0.5000)  12 Hg 3.73

Values from the calculation:
The electronic total energy comes out at -12.387 eV/cell. As for the space group: Pm-3m (221). The calculated formation energy is 1.22 eV per atom.